No. 1
A relaxed structure of ZrV3Pd. Source: Alexandria, functional PBE-GGA.

Calculated values
Its polymorph energy (0 for the lowest one) is 2.74 eV per formula unit. The value obtained for the density is 5.91 g/cm³.

a = 4.6168 Å, b = 4.6168 Å, c = 4.6168 Å
α = 90.00°, β = 90.00°, γ = 90.00°
Last column: nearest neighbours and their distance in Å.
Positions (direct):
Zr1 0.0000 0.0000 0.0000  6 V 2.31
V1 0.0000 0.0000 0.5000  2 Zr 2.31
V2 0.0000 0.5000 0.0000  2 Zr 2.31
V3 0.5000 0.0000 0.0000  2 Zr 2.31
Pd1 0.5000 0.5000 0.5000  12 V 3.26

No. 2
A relaxed structure of KAg2AuF8. Source: Alexandria, functional PBE-GGA.

Calculated values
The value obtained for the density is 5.77 g/cm³. For the formation energy (no corrections), the calculation gives -1.20 eV per atom.

a = 6.8648 Å, b = 6.8648 Å, c = 6.8648 Å
α = 132.23°, β = 132.23°, γ = 69.86°
Last column: nearest neighbours and their distance in Å.
Positions (direct):
K1 0.0000 0.0000 0.0000  8 F 2.59
Ag1 0.5000 0.5000 0.0000  8 F 2.41
Ag2 0.7500 0.2500 0.5000  8 F 2.40
Au1 0.2500 0.7500 0.5000  8 F 2.30
F1 0.1358 0.1205 0.5291  1 Au 2.30, 2 Ag 2.40-2.41, 2 F 2.53-2.57
F2 0.1358 0.6067 0.0153  1 Au 2.30, 2 Ag 2.40-2.41, 2 F 2.53-2.57
F3 0.3933 0.4086 0.5291  1 Au 2.30, 2 Ag 2.40-2.41, 2 F 2.53-2.57
F4 0.3933 0.8642 0.9847  1 Au 2.30, 2 Ag 2.40-2.41, 2 F 2.53-2.57
F5 0.5914 0.1205 0.9847  1 Au 2.30, 2 Ag 2.40-2.41, 2 F 2.53-2.57
F6 0.5914 0.6067 0.4709  1 Au 2.30, 2 Ag 2.40-2.41, 2 F 2.53-2.57
F7 0.8795 0.4086 0.0153  1 Au 2.30, 2 Ag 2.40-2.41, 2 F 2.53-2.57
F8 0.8795 0.8642 0.4709  1 Au 2.30, 2 Ag 2.40-2.41, 2 F 2.53-2.57